AlTeSe2 | PBE-GGA | optimized geometry

Results
total magnetic moment	0.00	Bohr magnetons per cell
raw formation energy	-109.5	meV per atom
DOS at the Fermi energy	5.4	states/eV/f.u.

Cell lengths 6.711, 6.711, 6.711 Å; angles 116.93, 116.93, 95.40 degrees
Fractional positions:
Al 0.000 0.000 0.000
Al 0.750 0.250 0.500
Te 0.250 0.750 0.500
Te 0.500 0.500 0.000
Se 0.060 0.625 0.935
Se 0.375 0.310 0.435
Se 0.690 0.125 0.065
Se 0.875 0.940 0.565

Ac6Pm | PBE-GGA | optimized geometry

Results
total magnetic moment	0.00	Bohr magnetons per cell
energy of formation from the pure elements	0.3056	eV per atom
DOS at the Fermi energy	10.1	states/eV/f.u.

Cell lengths 7.183, 7.183, 12.454 Å; angles 90.00, 90.00, 90.00 degrees
Fractional positions:
Ac 0.078 0.578 0.137
Ac 0.078 0.922 0.863
Ac 0.250 0.250 0.361
Ac 0.250 0.250 0.639
Ac 0.422 0.578 0.863
Ac 0.422 0.922 0.137
Ac 0.578 0.078 0.863
Ac 0.578 0.422 0.137
Ac 0.750 0.750 0.361
Ac 0.750 0.750 0.639
Ac 0.922 0.078 0.137
Ac 0.922 0.422 0.863
Pm 0.250 0.750 0.500
Pm 0.750 0.250 0.500